No. 1
Here is Zr2SiPt after structural relaxation from Alexandria. Energies are from GGA-PBE.

Cell lengths 4.0342, 4.0342, 17.5798 Å; angles 90.00, 90.00, 120.00 degrees
Space group R3m (No. 160, hexagonal axes)
Inequivalent atoms, fractional coordinates:
Zr (0.0000, 0.0000, 0.0000)
Zr (0.0000, 0.0000, 0.1999)
Si (0.0000, 0.0000, 0.4454)
Pt (0.0000, 0.0000, 0.7512)

Calculated values
Energy relative to the elements, uncorrected: -0.484 eV per atom
Crystal system: trigonal
Size of the total moment: 0.000 μB/atom
N(E_F): 8.2 states/eV per cell
Final energy: -91.5 eV/cell


No. 2
Here is CoCuOs2 after structural relaxation from Alexandria. Energies are from GGA-PBE.

Cell lengths 2.7264, 4.5031, 8.8538 Å; angles 90.00, 90.00, 90.00 degrees
Space group Cmm2 (No. 35)
Inequivalent atoms, fractional coordinates:
Co (0.0000, 0.0000, 0.0000)
Cu (0.0000, 0.5000, 0.2370)
Os (0.0000, 0.0000, 0.4952)
Os (0.0000, 0.5000, 0.7575)

Calculated values
E_form: 0.50 eV per atom
Crystal system: orthorhombic
Size of the total moment: 0.453 μB/atom
N(E_F): 10.5 states/eV per cell
Final energy: -63.3 eV/cell
Offset from the most stable computed form: 267 meV/atom


No. 3
Here is CsKCuI3 after structural relaxation from Alexandria. Energies are from GGA-PBE.

Cell lengths 18.4166, 6.1611, 10.1868 Å; angles 90.00, 105.52, 90.00 degrees
Space group C2/m (No. 12)
Inequivalent atoms, fractional coordinates:
Cs (0.1439, 0.0000, 0.0691)
K (0.1433, 0.0000, 0.5705)
Cu (0.0049, 0.5000, 0.2669)
I (0.0024, 0.0000, 0.2712)
I (0.1400, 0.5000, 0.8044)
I (0.1499, 0.5000, 0.3340)

Calculated values
Energy relative to the elements, uncorrected: -0.951 eV per atom
Crystal system: monoclinic
Size of the total moment: 0.000 μB/atom
Final energy: -65.6 eV/cell


No. 4
Here is AgW2Au after structural relaxation from Alexandria. Energies are from GGA-PBE.

Cell lengths 7.4237, 7.4237, 5.3035 Å; angles 90.00, 90.00, 90.00 degrees
Space group I-42d (No. 122)
Inequivalent atoms, fractional coordinates:
Ag (0.0000, 0.0000, 0.0000)
W (0.2443, 0.2500, 0.6250)
Au (0.0000, 0.0000, 0.5000)

Calculated values
E_form: 1.23 eV per atom
Crystal system: tetragonal
Size of the total moment: 0.000 μB/atom
N(E_F): 8.6 states/eV per cell
Final energy: -108.4 eV/cell
Offset from the most stable computed form: 941 meV/atom


No. 5
Here is Ce3SiOs after structural relaxation from Alexandria. Energies are from GGA-PBE.

Cell lengths 5.7083, 9.7427, 8.1306 Å; angles 90.00, 90.00, 90.00 degrees
Space group Pnma (No. 62)
Inequivalent atoms, fractional coordinates:
Ce (0.0033, 0.1009, 0.1385)
Ce (0.2414, 0.2500, 0.7414)
Si (0.0000, 0.0000, 0.5000)
Os (0.0008, 0.2500, 0.4349)

Calculated values
Energy relative to the elements, uncorrected: -0.268 eV per atom
Crystal system: orthorhombic
Size of the total moment: 0.161 μB/atom
N(E_F): 42.7 states/eV per cell
Final energy: -143.2 eV/cell
Offset from the most stable computed form: 122 meV/atom


No. 6
Here is BaSn2AsAu after structural relaxation from Alexandria. Energies are from GGA-PBE.

Cell lengths 4.6399, 15.0858, 8.5153 Å; angles 90.00, 90.00, 90.00 degrees
Space group Cmcm (No. 63)
Inequivalent atoms, fractional coordinates:
Ba (0.0000, 0.0637, 0.2500)
Sn (0.0000, 0.3219, 0.0623)
As (0.0000, 0.5000, 0.0000)
Au (0.0000, 0.2295, 0.7500)

Calculated values
E_form: -0.51 eV per atom
Crystal system: orthorhombic
Size of the total moment: 0.000 μB/atom
N(E_F): 5.3 states/eV per cell
Final energy: -81.6 eV/cell


Number 5 is which compound?
Ce3SiOs


Which formula does entry 1 have?
Zr2SiPt